Below is a geometry-optimized SrMgNiF6 structure, with properties calculated at the GGA+U level.

Unit cell a=5.3075 b=5.3075 c=10.4766 alpha=90.00 beta=90.00 gamma=120.00
Element x y z (fractional)
Sr 0.0000 0.0000 0.0000
Sr 0.0000 0.0000 0.5000
Mg 0.3333 0.6667 0.2500
Mg 0.6667 0.3333 0.7500
Ni 0.3333 0.6667 0.7500
Ni 0.6667 0.3333 0.2500
F 0.0029 0.3671 0.1441
F 0.0029 0.6358 0.3559
F 0.3642 0.3671 0.3559
F 0.3642 0.9971 0.1441
F 0.3671 0.0029 0.6441
F 0.3671 0.3642 0.8559
F 0.6329 0.6358 0.1441
F 0.6329 0.9971 0.3559
F 0.6358 0.0029 0.8559
F 0.6358 0.6329 0.6441
F 0.9971 0.3642 0.6441
F 0.9971 0.6329 0.8559

Summary:
The calculation puts the uncorrected energy at -0.37675 Ry/atom. The density of states at the Fermi level comes out at 0.00 states/eV/cell. The calculation puts the total magnetization at 3.9 μB per cell.